Entry 1:
The following is a DFT calculation (PBE) of a relaxed CdPbSeO crystal.

Cell lengths 12.1736, 12.1736, 6.3013 Å; angles 90.00, 90.00, 165.30 degrees
Closest atoms and distances in Å follow each position.
Atoms (fractional coordinates):
Cd: 0.0000 0.0000 0.0000  4 O 2.24
Cd: 0.0000 0.0000 0.5000  4 O 2.24
Pb: 0.1304 0.8696 0.7500  1 Se 2.60
Pb: 0.8696 0.1304 0.2500  1 Se 2.60
Se: 0.2382 0.7618 0.7500  1 Pb 2.60
Se: 0.7618 0.2382 0.2500  1 Pb 2.60
O: 0.4868 0.5132 0.7500  4 Cd 2.24
O: 0.5132 0.4868 0.2500  4 Cd 2.24

## Properties
Crystal system: orthorhombic
Space group: Cmcm (63)
Relative energy among the computed polymorphs: 627.9 meV/atom
Electronic total energy: -0.2519 Ry/atom



Entry 2:
The following is a DFT calculation (PBE) of a relaxed CdPbSeO crystal.

Cell lengths 3.8305, 3.8305, 13.9554 Å; angles 90.00, 90.00, 120.00 degrees
Closest atoms and distances in Å follow each position.
Atoms (fractional coordinates):
Cd: 0.3333 0.6667 0.0000  3 O 2.32
Cd: 0.6667 0.3333 0.5000  3 O 2.32
Pb: 0.0000 0.0000 0.2234  1 O 2.42
Pb: 0.0000 0.0000 0.7234  1 O 2.42
Se: 0.3333 0.6667 0.3558  3 Pb 2.88, 3 Cd 2.99
Se: 0.6667 0.3333 0.8558  3 Pb 2.88, 3 Cd 2.99
O: 0.0000 0.0000 0.0503  3 Cd 2.32, 1 Pb 2.42
O: 0.0000 0.0000 0.5503  3 Cd 2.32, 1 Pb 2.42

## Properties
Crystal system: hexagonal
Space group: P6_3mc (186)
Relative energy among the computed polymorphs: 234.9 meV/atom
Electronic total energy: -0.2808 Ry/atom



Entry 3:
The following is a DFT calculation (PBE) of a relaxed CdPbSeO crystal.

Cell lengths 4.2731, 4.2731, 10.5914 Å; angles 90.00, 90.00, 90.00 degrees
Closest atoms and distances in Å follow each position.
Atoms (fractional coordinates):
Cd: 0.2500 0.7500 0.0000  4 Se 2.73, 4 Cd 3.02
Cd: 0.7500 0.2500 0.0000  4 Se 2.73, 4 Cd 3.02
Pb: 0.2500 0.2500 0.3971  4 O 2.40
Pb: 0.7500 0.7500 0.6029  4 O 2.40
Se: 0.2500 0.2500 0.8400  4 Cd 2.73
Se: 0.7500 0.7500 0.1600  4 Cd 2.73
O: 0.2500 0.7500 0.5000  4 Pb 2.40
O: 0.7500 0.2500 0.5000  4 Pb 2.40

## Properties
Crystal system: tetragonal
Space group: P4/nmm (129)
Relative energy among the computed polymorphs: 45.3 meV/atom
Electronic total energy: -0.2947 Ry/atom